An optimized crystal structure of Sr2GaWO, computed with GGA+U.

Unit cell a=6.167 b=4.915 c=6.167 alpha=90.00 beta=90.00 gamma=90.00
Atoms (fractional coordinates):
W  0.000  0.000  0.000
O  0.500  0.500  0.500
Sr  0.000  0.000  0.500
Sr  0.500  0.000  0.000
Ga  0.000  0.500  0.000

Results
- V: 186.9 Å³/cell
- Magnetic moment: 0.778 μB per atom
- E: -2.97 eV per atom
- Space group: P4/mmm, No. 123